No. 1
The following is a PBE calculation of an optimized crystal structure of Li2CaNbF8, from Alexandria via LeMat-Bulk.

Cell lengths 4.7698, 4.8023, 7.0641 Å; angles 89.96, 89.96, 84.75 degrees
Last column: nearest neighbours and their distance in Å.
Element x y z (fractional)
Li: 0.4997 0.4997 0.6982  4 F 1.93-1.98
Nb: 0.0000 0.0000 0.0000  6 F 1.93-2.07
F: 0.2040 0.7935 0.7749  1 Li 1.98, 1 Nb 2.07
F: 0.2041 0.7937 0.2251  1 Li 1.98, 1 Nb 2.07
F: 0.7960 0.2065 0.2251  1 Li 1.98, 1 Nb 2.07
F: 0.7959 0.2063 0.7749  1 Li 1.98, 1 Nb 2.07
Ca: 0.0000 0.0000 0.5000  6 F 2.21-2.35
F: 0.7244 0.7284 0.0004  1 Nb 1.93
F: 0.6861 0.6897 0.5001  2 Li 1.93
Li: 0.5003 0.5003 0.3018  4 F 1.93-1.98
F: 0.2756 0.2716 0.9996  1 Nb 1.93
F: 0.3139 0.3103 0.4999  2 Li 1.93

Theoretical density   3.08 g cm⁻³
Magnetization   0.083 μB/atom
SG   No. 10
Volume   161.1 Å³/f.u.
E   -5.7293 eV per atom
Formation energy (no corrections)   -3157 meV per atom

***

No. 2
The following is a PBE calculation of an optimized crystal structure of SrCr2W, from Alexandria via LeMat-Bulk.

Cell lengths 2.8114, 2.8114, 9.3173 Å; angles 90.00, 90.00, 109.75 degrees
Last column: nearest neighbours and their distance in Å.
Element x y z (fractional)
Cr: 0.0000 0.0000 0.9577  2 W 2.52, 4 Cr 2.81
Sr: 0.5000 0.5000 0.2500  4 Sr 2.81
Cr: 0.0000 0.0000 0.5423  2 W 2.52, 4 Cr 2.81
W: 0.5000 0.5000 0.7500  4 Cr 2.52, 4 W 2.81

DFT formation energy   978 meV/atom
D(E_F)   4.1 states/eV per cell
Theoretical density   9.00 g cm⁻³
Magnetization   0.000 μB/atom
SG   No. 65
Volume   69.3 Å³/f.u.
E   -7.4922 eV per atom
Offset from the most stable computed form   1.20 eV per formula unit

***

No. 3
The following is a PBE calculation of an optimized crystal structure of Tb3Sc4Sn4, from Alexandria via LeMat-Bulk.

Cell lengths 4.1986, 8.8658, 9.3113 Å; angles 118.43, 103.03, 90.00 degrees
Last column: nearest neighbours and their distance in Å.
Element x y z (fractional)
Tb: 0.8870 0.8870 0.7741  6 Sn 3.18-3.33, 4 Sc 3.54
Sc: 0.3255 0.5233 0.6511  4 Sn 2.88-3.03
Sc: 0.3255 0.1278 0.6511  4 Sn 2.88-3.03
Sc: 0.6745 0.8722 0.3489  4 Sn 2.88-3.03
Sc: 0.6745 0.4767 0.3489  4 Sn 2.88-3.03
Sn: 0.2364 0.7364 0.4729  6 Sc 2.91-3.03, 2 Tb 3.18
Sn: 0.5000 0.7889 0.0000  2 Sc 2.88
Tb: 0.1130 0.1130 0.2259  6 Sn 3.18-3.33, 4 Sc 3.54
Tb: 0.0000 0.5000 0.0000  4 Sn 3.31
Sn: 0.5000 0.2111 0.0000  2 Sc 2.88
Sn: 0.7636 0.2636 0.5271  6 Sc 2.91-3.03, 2 Tb 3.18

DFT formation energy   -562 meV/atom
D(E_F)   12.2 states/eV per cell
Theoretical density   6.38 g cm⁻³
Magnetization   0.221 μB/atom
SG   No. 71
Volume   294.6 Å³/f.u.
E   -5.5825 eV per atom

***

No. 4
The following is a PBE calculation of an optimized crystal structure of Ba3PmDy3Te8, from Alexandria via LeMat-Bulk.

Cell lengths 9.0224, 9.0185, 9.5190 Å; angles 118.24, 90.01, 119.99 degrees
Last column: nearest neighbours and their distance in Å.
Element x y z (fractional)
Te: 0.2450 0.4900 0.7194  2 Dy 3.10, 1 Pm 3.21, 2 Ba 3.46
Dy: 0.0000 0.5000 0.5000  6 Te 3.10-3.12
Te: 0.7294 0.9744 0.7194  2 Dy 3.10, 1 Pm 3.21, 2 Ba 3.46-3.47
Dy: 0.5000 0.0000 0.5000  6 Te 3.10-3.12
Ba: 0.0000 0.5000 0.0000  6 Te 3.45-3.47
Te: 0.7550 0.5100 0.2806  2 Dy 3.10, 1 Pm 3.21, 2 Ba 3.46
Te: 0.7386 0.4771 0.7157  3 Dy 3.12, 3 Ba 3.45
Te: 0.2614 0.5229 0.2843  3 Dy 3.12, 3 Ba 3.45
Dy: 0.5000 0.5000 0.5000  6 Te 3.10-3.12
Te: 0.2451 0.9744 0.7195  2 Dy 3.10, 1 Pm 3.21, 2 Ba 3.46-3.47
Ba: 0.0000 0.0000 0.0000  6 Te 3.45-3.46
Te: 0.7549 0.0256 0.2805  2 Dy 3.10, 1 Pm 3.21, 2 Ba 3.46-3.47
Pm: 0.0000 0.0000 0.5000  6 Te 3.21
Ba: 0.5000 0.5000 0.0000  6 Te 3.45-3.47
Te: 0.2706 0.0256 0.2806  2 Dy 3.10, 1 Pm 3.21, 2 Ba 3.46-3.47

D(E_F)   4.2 states/eV per cell
Theoretical density   6.10 g cm⁻³
Magnetization   0.000 μB/atom
SG   No. 12
Volume   561.8 Å³/f.u.
E   -4.8362 eV per atom
Formation energy (no corrections)   -1539 meV per atom

***

No. 5
The following is a PBE calculation of an optimized crystal structure of SrAl2Te, from Alexandria via LeMat-Bulk.

Cell lengths 4.0756, 4.3509, 6.3478 Å; angles 95.31, 90.00, 90.00 degrees
Last column: nearest neighbours and their distance in Å.
Element x y z (fractional)
Al: 0.0000 0.8342 0.1094  4 Al 2.97-2.99, 2 Te 3.11
Te: 0.5000 0.9288 0.7516  3 Al 2.79-3.11
Al: 0.5000 0.3386 0.1166  1 Te 2.79, 4 Al 2.97-2.99
Sr: 0.0000 0.3984 0.5224  4 Al 3.28-3.42, 4 Te 3.31-3.32

D(E_F)   1.7 states/eV per cell
Theoretical density   3.99 g cm⁻³
Magnetization   0.000 μB/atom
SG   No. 6
Volume   112.1 Å³/f.u.
E   -3.4131 eV per atom
Formation energy (no corrections)   -336 meV per atom

***

No. 6
The following is a PBE calculation of an optimized crystal structure of ErPuTlZn, from Alexandria via LeMat-Bulk.

Cell lengths 5.2309, 5.2309, 5.2309 Å; angles 60.00, 60.00, 60.00 degrees
Last column: nearest neighbours and their distance in Å.
Element x y z (fractional)
Pu: 0.7500 0.7500 0.7500  4 Tl 3.20, 4 Zn 3.20
Tl: 0.5000 0.5000 0.5000  4 Er 3.20, 4 Pu 3.20
Er: 0.2500 0.2500 0.2500  4 Zn 3.20, 4 Tl 3.20
Zn: 0.0000 0.0000 0.0000  4 Pu 3.20, 4 Er 3.20

DFT formation energy   -133 meV/atom
D(E_F)   8.1 states/eV per cell
Theoretical density   11.17 g cm⁻³
Magnetization   1.552 μB/atom
SG   No. 216
Volume   101.2 Å³/f.u.
E   -5.7665 eV per atom

***

No. 7
The following is a PBE calculation of an optimized crystal structure of AlAgCl2, from Alexandria via LeMat-Bulk.

Cell lengths 8.7823, 8.7823, 8.7823 Å; angles 22.45, 22.45, 22.45 degrees
Last column: nearest neighbours and their distance in Å.
Element x y z (fractional)
Cl: 0.9075 0.9075 0.9075  1 Al 2.37
Cl: 0.0925 0.0925 0.0925  1 Al 2.37
Al: 0.0000 0.0000 0.0000  2 Cl 2.37
Ag: 0.5000 0.5000 0.5000  6 Cl 2.74

D(E_F)   0.0 states/eV per cell
Theoretical density   3.94 g cm⁻³
Magnetization   0.000 μB/atom
SG   No. 166
Volume   86.6 Å³/f.u.
E   -2.8669 eV per atom
Formation energy (no corrections)   -295 meV per atom
Offset from the most stable computed form   1.80 eV per formula unit

***

No. 8
The following is a PBE calculation of an optimized crystal structure of RbCu2Te6As2, from Alexandria via LeMat-Bulk.

Cell lengths 9.2467, 7.7983, 7.9635 Å; angles 125.55, 103.61, 57.95 degrees
Last column: nearest neighbours and their distance in Å.
Element x y z (fractional)
Te: 0.5668 0.3504 0.0799  1 Cu 2.56
Rb: 0.5000 0.0000 0.5000  6 Te 3.69-3.90
Cu: 0.8809 0.2206 0.1478  4 Te 2.56-2.77, 1 Cu 2.68
Cu: 0.1191 0.7794 0.8522  4 Te 2.56-2.77, 1 Cu 2.68
Te: 0.1234 0.2019 0.0158  2 Cu 2.60-2.77, 1 As 2.67
As: 0.8805 0.2763 0.7686  3 Te 2.67-2.77
As: 0.1195 0.7237 0.2314  3 Te 2.67-2.77
Te: 0.4332 0.6496 0.9201  1 Cu 2.56
Te: 0.8766 0.7981 0.9842  2 Cu 2.60-2.77, 1 As 2.67
Te: 0.0378 0.2055 0.4724  1 Cu 2.68, 2 As 2.69-2.77
Te: 0.9622 0.7945 0.5276  1 Cu 2.68, 2 As 2.69-2.77

D(E_F)   4.0 states/eV per cell
Theoretical density   4.76 g cm⁻³
Magnetization   0.000 μB/atom
SG   No. 2
Volume   393.7 Å³/f.u.
E   -3.5093 eV per atom
Formation energy (no corrections)   -118 meV per atom

***

No. 9
The following is a PBE calculation of an optimized crystal structure of Pm8ZnS6, from Alexandria via LeMat-Bulk.

Cell lengths 4.0664, 10.5538, 10.5538 Å; angles 120.00, 90.00, 90.00 degrees
Last column: nearest neighbours and their distance in Å.
Element x y z (fractional)
Zn: 0.5000 0.0000 0.0000  6 Pm 3.56
S: 0.7499 0.4837 0.3466  6 Pm 2.75-2.93
Pm: 0.7491 0.3388 0.0345  4 S 2.75-2.93
S: 0.2501 0.1371 0.4837  6 Pm 2.75-2.93
S: 0.2501 0.3466 0.8629  6 Pm 2.75-2.93
Pm: 0.2509 0.3043 0.3388  4 S 2.75-2.93
Pm: 0.7500 0.3333 0.6667  6 S 2.86
S: 0.7499 0.8629 0.5163  6 Pm 2.75-2.93
S: 0.7499 0.6534 0.1371  6 Pm 2.75-2.93
S: 0.2501 0.5163 0.6534  6 Pm 2.75-2.93
Pm: 0.7491 0.6957 0.6612  4 S 2.75-2.93
Pm: 0.7491 0.9655 0.3043  4 S 2.75-2.93
Pm: 0.2500 0.6667 0.3333  6 S 2.86
Pm: 0.2509 0.0345 0.6957  4 S 2.75-2.93
Pm: 0.2509 0.6612 0.9655  4 S 2.75-2.93

D(E_F)   11.6 states/eV per cell
Theoretical density   6.00 g cm⁻³
Magnetization   0.000 μB/atom
SG   No. 147
Volume   392.2 Å³/f.u.
E   -5.7485 eV per atom
Formation energy (no corrections)   -1479 meV per atom

***

No. 10
The following is a PBE calculation of an optimized crystal structure of LiSiPb2F, from Alexandria via LeMat-Bulk.

Cell lengths 5.5874, 3.5270, 5.5874 Å; angles 90.00, 90.00, 90.00 degrees
Last column: nearest neighbours and their distance in Å.
Element x y z (fractional)
F: 0.0000 0.0000 0.0000  2 Li 1.76
Si: 0.5000 0.5000 0.5000  8 Pb 3.30, 2 Si 3.53
Pb: 0.5000 0.0000 0.0000  2 F 2.79
Li: 0.0000 0.5000 0.0000  2 F 1.76
Pb: 0.0000 0.0000 0.5000  2 F 2.79

D(E_F)   2.3 states/eV per cell
Theoretical density   7.06 g cm⁻³
Magnetization   0.000 μB/atom
SG   No. 123
Volume   110.1 Å³/f.u.
E   -3.9292 eV per atom
Formation energy (no corrections)   -604 meV per atom

***

No. 11
The following is a PBE calculation of an optimized crystal structure of Ta4Os5Ru, from Alexandria via LeMat-Bulk.

Cell lengths 4.2595, 5.5078, 7.6987 Å; angles 113.02, 106.06, 90.00 degrees
Last column: nearest neighbours and their distance in Å.
Element x y z (fractional)
Os: 0.7034 0.7853 0.4068  7 Ta 2.67-2.99, 1 Os 2.77
Ta: 0.6970 0.2644 0.3940  7 Os 2.66-2.83, 1 Ru 2.68
Ru: 0.5000 0.0000 0.0000  6 Ta 2.68-2.82, 6 Os 2.75-2.96
Ta: 0.3030 0.7356 0.6060  7 Os 2.66-2.83, 1 Ru 2.68
Os: 0.8870 0.6259 0.7740  6 Ta 2.66-2.86, 2 Os 2.96, 2 Ru 2.96
Ta: 0.0849 0.8290 0.1697  8 Os 2.68-2.99, 2 Ru 2.82
Os: 0.1130 0.3741 0.2260  6 Ta 2.66-2.86, 2 Os 2.96, 2 Ru 2.96
Os: 0.5000 0.5000 0.0000  4 Ta 2.75, 2 Ru 2.75, 6 Os 2.77-2.96
Ta: 0.9151 0.1710 0.8303  8 Os 2.68-2.99, 2 Ru 2.82
Os: 0.2966 0.2147 0.5932  7 Ta 2.67-2.99, 1 Os 2.77

DFT formation energy   -282 meV/atom
D(E_F)   2.9 states/eV per cell
Theoretical density   18.60 g cm⁻³
Magnetization   0.000 μB/atom
SG   No. 12
Volume   158.6 Å³/f.u.
E   -11.5660 eV per atom

***

No. 12
The following is a PBE calculation of an optimized crystal structure of PrThTe2, from Alexandria via LeMat-Bulk.

Cell lengths 3.8727, 3.8727, 7.7385 Å; angles 90.00, 90.00, 90.00 degrees
Last column: nearest neighbours and their distance in Å.
Element x y z (fractional)
Te: 0.0000 0.0000 0.2432  4 Th 3.32, 4 Pr 3.38
Pr: 0.5000 0.5000 0.5000  8 Te 3.38
Te: 0.0000 0.0000 0.7568  4 Th 3.32, 4 Pr 3.38
Th: 0.5000 0.5000 0.0000  8 Te 3.32

D(E_F)   2.6 states/eV per cell
Theoretical density   8.99 g cm⁻³
Magnetization   0.000 μB/atom
SG   No. 123
Volume   116.1 Å³/f.u.
E   -5.8555 eV per atom
Formation energy (no corrections)   -1235 meV per atom
Offset from the most stable computed form   0.00 eV per formula unit